Material: Nb2Co2O
Method: DFT, PBE with a Hubbard U
State: relaxed

Cell and atoms, written as CIF:
```
data_Nb2Co2O
_chemical_formula_sum 'Nb4 Co4 O2'
_cell_length_a 6.744
_cell_length_b 6.744
_cell_length_c 3.079
_cell_angle_alpha 90.00
_cell_angle_beta 90.00
_cell_angle_gamma 90.00
_space_group_name_H-M_alt 'P 1'
_space_group_IT_number 1
loop_
_space_group_symop_operation_xyz
'x,y,z'
loop_
_atom_site_label
_atom_site_fract_x
_atom_site_fract_y
_atom_site_fract_z
_atom_site_occupancy
Nb1 0.667 0.833 0.500 1
Nb2 0.333 0.167 0.500 1
Nb3 0.833 0.333 0.500 1
Nb4 0.167 0.667 0.500 1
O1 0.000 0.000 0.000 1
O2 0.500 0.500 0.000 1
Co1 0.631 0.131 0.000 1
Co2 0.131 0.369 0.000 1
Co3 0.869 0.631 0.000 1
Co4 0.369 0.869 0.000 1
```

The value obtained for the relative energy among the computed polymorphs is 0.00 eV/f.u. The total DFT energy (no corrections) comes out at -65.18 eV for the cell shown. As for the crystal system: tetragonal.